This record from Alexandria describes a geometry-optimized K2YRe2N6 structure. The functional is PBE.

Properties
Total DFT energy (no corrections), eV for the cell shown: -87.39
Uncorrected formation energy, meV/atom: -353

Lattice parameters (Å, degrees): 6.2847 6.3083 7.4374 117.46 90.00 119.88
Each line ends with the local moment (μB).
Positions (direct):
K 0.7161 0.4322 0.1868  0.00
K 0.2839 0.5678 0.8132  0.00
Y 0.5000 0.0000 0.5000  -0.02
Re 0.9458 0.8915 0.7892  -0.06
Re 0.0542 0.1085 0.2108  -0.06
N 0.7554 0.5107 0.6760  0.13
N 0.2260 0.9750 0.2610  0.12
N 0.2510 0.0250 0.7390  0.12
N 0.7740 0.0250 0.7390  0.12
N 0.7490 0.9750 0.2610  0.12
N 0.2446 0.4893 0.3240  0.13

---

This record from Alexandria describes a geometry-optimized ZrScBeCo structure. The functional is PBE.

Properties
Total DFT energy (no corrections), eV for the cell shown: -26.41
DFT formation energy, eV per atom: -0.18

Lattice parameters (Å, degrees): 4.4771 4.4771 4.4771 60.00 60.00 60.00
Each line ends with the local moment (μB).
Positions (direct):
Sc 0.0000 0.0000 0.0000  -0.04
Be 0.7500 0.7500 0.7500  0.01
Co 0.2500 0.2500 0.2500  0.26
Zr 0.5000 0.5000 0.5000  -0.03

---

This record from Alexandria describes a geometry-optimized Fe2SiBr2 structure. The functional is PBE.

Properties
Total DFT energy (no corrections), eV for the cell shown: -20.43
Uncorrected formation energy, meV/atom: 1052

Lattice parameters (Å, degrees): 4.1725 4.1725 5.8509 69.11 69.11 90.00
Positions (direct):
Si 0.0000 0.0000 0.0000
Fe 0.3949 0.3949 0.2101
Fe 0.6051 0.6051 0.7899
Br 0.7500 0.2500 0.5000
Br 0.2500 0.7500 0.5000

---

This record from Alexandria describes a geometry-optimized K2RbLiBr structure. The functional is PBE.

Properties
Total DFT energy (no corrections), eV for the cell shown: -9.45
Uncorrected formation energy, meV/atom: -540

Lattice parameters (Å, degrees): 6.4582 6.4582 6.7801 90.00 90.00 90.00
Positions (direct):
K 0.0000 0.5000 0.0000
K 0.5000 0.0000 0.0000
Br 0.0000 0.0000 0.0000
Rb 0.0000 0.0000 0.5000
Li 0.5000 0.5000 0.5000

---

This record from Alexandria describes a geometry-optimized Tb2Dy2Er5 structure. The functional is PBE.

Properties
Total DFT energy (no corrections), eV for the cell shown: -40.69
DFT formation energy, eV per atom: 0.07

Lattice parameters (Å, degrees): 3.5056 11.8293 10.2398 45.11 110.90 107.69
Positions (direct):
Tb 0.3920 0.9789 0.6748
Tb 0.6080 0.0211 0.3252
Dy 0.9378 0.3195 0.8950
Dy 0.0622 0.6805 0.1050
Er 0.3381 0.3589 0.2170
Er 0.6619 0.6411 0.7830
Er 0.1634 0.3272 0.5627
Er 0.8366 0.6728 0.4373
Er 0.0000 0.0000 0.0000

---

This record from Alexandria describes a geometry-optimized Dy2TmOs structure. The functional is PBE.

Properties
Total DFT energy (no corrections), eV for the cell shown: -25.25
DFT formation energy, eV per atom: -0.09

Lattice parameters (Å, degrees): 3.3844 3.3844 9.2498 90.00 90.00 90.00
Positions (direct):
Tm 0.5000 0.5000 0.5000
Os 0.5000 0.5000 0.0000
Dy 0.0000 0.0000 0.8193
Dy 0.0000 0.0000 0.1807

---

Repeat the fifth record exactly.
This record from Alexandria describes a geometry-optimized Tb2Dy2Er5 structure. The functional is PBE.

Properties
Total DFT energy (no corrections), eV for the cell shown: -40.69
DFT formation energy, eV per atom: 0.07

Lattice parameters (Å, degrees): 3.5056 11.8293 10.2398 45.11 110.90 107.69
Positions (direct):
Tb 0.3920 0.9789 0.6748
Tb 0.6080 0.0211 0.3252
Dy 0.9378 0.3195 0.8950
Dy 0.0622 0.6805 0.1050
Er 0.3381 0.3589 0.2170
Er 0.6619 0.6411 0.7830
Er 0.1634 0.3272 0.5627
Er 0.8366 0.6728 0.4373
Er 0.0000 0.0000 0.0000